1.
Computed, not measured: K3ThU2S6 after structural relaxation at the PBE level of DFT.

The structure in POSCAR format:
```
K3ThU2S6
1.0
7.041 -0.001 0.000
-3.520 6.099 0.000
-1.174 -2.033 7.491
K Th U S
3 1 2 6
Direct
0.166 0.834 0.500 K
0.834 0.166 0.500 K
0.500 0.500 0.500 K
0.000 0.000 0.000 Th
0.333 0.667 0.000 U
0.667 0.333 0.000 U
0.931 0.593 0.792 S
0.732 0.732 0.208 S
0.069 0.407 0.208 S
0.593 0.931 0.792 S
0.268 0.268 0.792 S
0.407 0.069 0.208 S
```

## Properties
Raw formation energy ... -17.8 eV per formula unit
V ... 26.805 Å³ per atom

---

2.
Computed, not measured: Ta2NbRe3 after structural relaxation at the PBE level of DFT.

The structure in POSCAR format:
```
Ta2NbRe3
1.0
-0.243 0.225 3.186
2.943 -1.225 0.311
3.721 8.850 -0.340
Ta Nb Re
2 1 3
Direct
0.500 0.500 0.833 Ta
0.500 0.500 0.167 Ta
0.500 0.500 0.500 Nb
0.000 0.000 0.000 Re
0.000 0.000 0.667 Re
0.000 0.000 0.333 Re
```

## Properties
V ... 16.428 Å³ per atom
Energy ... -73.36 eV/f.u.

---

3.
Computed, not measured: ZrTePd3 after structural relaxation at the PBE level of DFT.

The structure in POSCAR format:
```
ZrTePd3
1.0
4.952 0.000 0.000
0.000 4.952 0.000
0.000 0.000 4.952
Te Zr Pd
1 1 3
Direct
0.500 0.500 0.500 Te
0.000 0.000 0.000 Zr
0.000 0.500 0.000 Pd
0.000 0.000 0.500 Pd
0.500 0.000 0.000 Pd
```

## Properties
Raw formation energy ... 2.8 eV per formula unit
V ... 24.292 Å³ per atom
Distance to the lowest polymorph of the same formula ... 234 meV/atom

---

4.
Computed, not measured: KW2Se after structural relaxation at the PBE level of DFT.

The structure in POSCAR format:
```
KW2Se
1.0
2.710 0.000 0.000
0.000 5.116 0.000
0.000 0.000 6.077
K Se W
1 1 2
Direct
0.500 0.000 0.500 K
0.000 0.500 0.500 Se
0.000 0.000 0.000 W
0.500 0.500 0.000 W
```

## Properties
Raw formation energy ... 4.8 eV per formula unit
V ... 21.064 Å³ per atom

---

5.
Computed, not measured: Sc2HSe after structural relaxation at the PBE level of DFT.

The structure in POSCAR format:
```
Sc2HSe
1.0
0.000 3.184 3.184
3.184 0.000 3.184
3.184 3.184 0.000
Sc H Se
2 1 1
Direct
0.250 0.250 0.250 Sc
0.750 0.750 0.750 Sc
0.000 0.000 0.000 H
0.500 0.500 0.500 Se
```

## Properties
V ... 16.133 Å³ per atom
Distance to the lowest polymorph of the same formula ... 471 meV/atom

---

6.
Computed, not measured: CsNbN2 after structural relaxation at the PBE level of DFT.

The structure in POSCAR format:
```
CsNbN2
1.0
-0.505 0.216 3.983
0.152 -8.507 0.481
5.960 0.149 0.748
Cs Nb N
2 2 4
Direct
0.000 0.857 0.250 Cs
0.000 0.143 0.750 Cs
0.500 0.470 0.250 Nb
0.500 0.530 0.750 Nb
0.500 0.662 0.493 N
0.500 0.338 0.507 N
0.500 0.338 0.993 N
0.500 0.662 0.007 N
```

## Properties
Raw formation energy ... 0.3 eV per formula unit
V ... 25.733 Å³ per atom

---

7.
Computed, not measured: RbScSe2 after structural relaxation at the PBE level of DFT.

The structure in POSCAR format:
```
RbScSe2
1.0
-3.660 -1.598 1.716
-1.113 -1.617 -3.878
2.809 -5.043 1.297
Sc Se Rb
1 2 1
Direct
0.000 0.000 0.500 Sc
0.500 0.500 0.500 Se
0.000 0.000 0.000 Se
0.500 0.500 0.000 Rb
```

## Properties
Raw formation energy ... -3.8 eV per formula unit
V ... 27.945 Å³ per atom

---

8.
Computed, not measured: TbMnN2 after structural relaxation at the PBE level of DFT.

The structure in POSCAR format:
```
TbMnN2
1.0
-3.119 0.496 0.227
-1.901 -0.735 -2.424
-2.313 -5.009 1.264
Tb Mn N
1 1 2
Direct
0.670 0.670 0.990 Tb
0.494 0.494 0.518 Mn
0.095 0.095 0.714 N
0.241 0.241 0.278 N
```

## Properties
Raw formation energy ... -1.8 eV per formula unit
V ... 11.632 Å³ per atom